[1]
{
  "formula": "SmTm3Tc",
  "functional": "GGA-PBE",
  "state": "optimized geometry",
  "cell": [[5.334, 0.000, 0.000], [0.000, 5.334, 0.000], [0.000, 0.000, 5.334]],
  "species": ["Sm", "Tm", "Tm", "Tm", "Tc"],
  "fractional_positions": [[0.000, 0.000, 0.000], [0.000, 0.500, 0.500], [0.500, 0.000, 0.500], [0.500, 0.500, 0.000], [0.500, 0.500, 0.500]],
  "polymorph_energy_mev_per_atom": 134,
  "sg": "Pm-3m, No. 221",
  "formation_enthalpy_0k_ev_per_atom": 0.11,
  "vol_a3_per_atom": 30.351
}


[2]
{
  "formula": "ScMn3Hg",
  "functional": "GGA-PBE",
  "state": "optimized geometry",
  "cell": [[4.693, 0.000, 0.000], [0.000, 4.693, 0.000], [0.000, 0.000, 4.693]],
  "species": ["Sc", "Mn", "Mn", "Mn", "Hg"],
  "fractional_positions": [[0.000, 0.000, 0.000], [0.000, 0.000, 0.500], [0.000, 0.500, 0.000], [0.500, 0.000, 0.000], [0.500, 0.500, 0.500]],
  "polymorph_energy_mev_per_atom": 201,
  "sg": "Pm-3m, No. 221",
  "formation_enthalpy_0k_ev_per_atom": 1.26,
  "vol_a3_per_atom": 20.669
}